Record 1
Compound: Li2IrPt
Source: Alexandria via LeMat-Bulk
Functional: PBEsol
Structure: relaxed

**V**: 107 Å³ per cell
**M_tot**: 0.0 μB per cell
**E_tot**: -44.208 eV per cell
**ΔE_f**: -346 meV/atom

Unit cell a=2.7221 b=4.5334 c=8.6672 alpha=90.00 beta=90.00 gamma=90.00
Space group Cmmm (No. 65)
Unique sites:
Li (0.0000, 0.0000, 0.2484) [4 per cell]
Ir (0.0000, 0.5000, 0.0000) [2 per cell]
Pt (0.0000, 0.5000, 0.5000) [2 per cell]

Record 2
Compound: Li2IrPt
Source: Alexandria via LeMat-Bulk
Functional: PBEsol
Structure: relaxed

**V**: 107 Å³ per cell
**M_tot**: 0.0 μB per cell
**E_tot**: -44.045 eV per cell
**ΔE_f**: -325 meV/atom

Unit cell a=2.7041 b=4.5689 c=8.6684 alpha=90.00 beta=90.00 gamma=90.00
Space group Immm (No. 71)
Unique sites:
Li (0.0000, 0.0000, 0.2485) [4 per cell]
Ir (0.0000, 0.5000, 0.0000) [2 per cell]
Pt (0.0000, 0.5000, 0.5000) [2 per cell]

Record 3
Compound: Li2IrPt
Source: Alexandria via LeMat-Bulk
Functional: PBEsol
Structure: relaxed

**V**: 159 Å³ per cell
**M_tot**: 0.0 μB per cell
**E_tot**: -66.652 eV per cell
**ΔE_f**: -374 meV/atom

Unit cell a=2.6701 b=2.6701 c=25.7683 alpha=90.00 beta=90.00 gamma=120.00
Space group R-3m (No. 166, hexagonal axes)
Unique sites:
Li (0.0000, 0.0000, 0.2505) [6 per cell]
Ir (0.0000, 0.0000, 0.0000) [3 per cell]
Pt (0.0000, 0.0000, 0.5000) [3 per cell]

Record 4
Compound: LiIr2Pt
Source: Alexandria via LeMat-Bulk
Functional: PBEsol
Structure: relaxed

**V**: 110 Å³ per cell
**M_tot**: 0.0 μB per cell
**E_tot**: -58.209 eV per cell
**ΔE_f**: -132 meV/atom

Unit cell a=8.9826 b=2.6881 c=4.5906 alpha=90.00 beta=98.16 gamma=90.00
Space group C2/m (No. 12)
Unique sites:
Li (0.0000, 0.0000, 0.0000) [2 per cell]
Ir (0.2438, 0.0000, 0.7527) [4 per cell]
Pt (0.0000, 0.5000, 0.5000) [2 per cell]

Record 5
Compound: LiIrPt2
Source: Alexandria via LeMat-Bulk
Functional: PBEsol
Structure: relaxed

**V**: 115 Å³ per cell
**M_tot**: 0.0 μB per cell
**E_tot**: -51.869 eV per cell
**ΔE_f**: -54 meV/atom

Unit cell a=2.6937 b=4.6589 c=9.1677 alpha=90.00 beta=90.00 gamma=90.00
Space group Cmmm (No. 65)
Unique sites:
Li (0.0000, 0.0000, 0.0000) [2 per cell]
Ir (0.0000, 0.0000, 0.5000) [2 per cell]
Pt (0.0000, 0.5000, 0.2412) [4 per cell]

Record 6
Compound: Li2ReIrPt
Source: Alexandria via LeMat-Bulk
Functional: PBEsol
Structure: relaxed

**V**: 83 Å³ per cell
**M_tot**: 0.5 μB per cell
**E_tot**: -28.585 eV per cell
**ΔE_f**: 1093 meV/atom

Unit cell a=4.2013 b=4.2013 c=4.7144 alpha=90.00 beta=90.00 gamma=90.00
Space group P4/mmm (No. 123)
Unique sites:
Li (0.0000, 0.5000, 0.0000) [2 per cell]
Re (0.0000, 0.0000, 0.5000) [1 per cell]
Ir (0.0000, 0.0000, 0.0000) [1 per cell]
Pt (0.5000, 0.5000, 0.5000) [1 per cell]

Record 7
Compound: Li2TiIrPt
Source: Alexandria via LeMat-Bulk
Functional: PBEsol
Structure: relaxed

**V**: 81 Å³ per cell
**M_tot**: 0.8 μB per cell
**E_tot**: -23.859 eV per cell
**ΔE_f**: 1037 meV/atom

Unit cell a=4.3192 b=4.3192 c=4.3575 alpha=90.00 beta=90.00 gamma=90.00
Space group P4/mmm (No. 123)
Unique sites:
Li (0.0000, 0.5000, 0.0000) [2 per cell]
Ti (0.0000, 0.0000, 0.0000) [1 per cell]
Ir (0.0000, 0.0000, 0.5000) [1 per cell]
Pt (0.5000, 0.5000, 0.5000) [1 per cell]

Record 8
Compound: LiReIr2
Source: Alexandria via LeMat-Bulk
Functional: PBEsol
Structure: relaxed

**V**: 54 Å³ per cell
**M_tot**: 0.0 μB per cell
**E_tot**: -34.874 eV per cell
**ΔE_f**: 18 meV/atom

Unit cell a=2.6597 b=4.0751 c=5.1359 alpha=90.00 beta=104.97 gamma=90.00
Space group Pm (No. 6)
Unique sites:
Li (0.0000, 0.0000, 0.0000) [1 per cell]
Re (0.1633, 0.5000, 0.2906) [1 per cell]
Ir (0.4259, 0.5000, 0.8281) [1 per cell]
Ir (0.7667, 0.0000, 0.5016) [1 per cell]

Record 9
Compound: LiReIr
Source: Alexandria via LeMat-Bulk
Functional: PBEsol
Structure: relaxed

**V**: 80 Å³ per cell
**M_tot**: 0.0 μB per cell
**E_tot**: -49.867 eV per cell
**ΔE_f**: 63 meV/atom

Unit cell a=2.6968 b=3.8523 c=7.6612 alpha=90.00 beta=90.00 gamma=90.00
Space group Imm2 (No. 44)
Unique sites:
Li (0.0000, 0.0000, 0.0000) [2 per cell]
Re (0.0000, 0.0000, 0.6749) [2 per cell]
Ir (0.0000, 0.0000, 0.3306) [2 per cell]

Record 10
Compound: Li2ReIr
Source: Alexandria via LeMat-Bulk
Functional: PBEsol
Structure: relaxed

**V**: 190 Å³ per cell
**M_tot**: 2.6 μB per cell
**E_tot**: -97.549 eV per cell
**ΔE_f**: 675 meV/atom

Unit cell a=5.7498 b=5.7498 c=5.7498 alpha=90.00 beta=90.00 gamma=90.00
Space group Fm-3m (No. 225)
Unique sites:
Li (0.2500, 0.2500, 0.2500) [8 per cell]
Re (0.0000, 0.0000, 0.0000) [4 per cell]
Ir (0.0000, 0.0000, 0.5000) [4 per cell]

Record 11
Compound: LiReIr
Source: Alexandria via LeMat-Bulk
Functional: PBEsol
Structure: relaxed

**V**: 39 Å³ per cell
**M_tot**: 0.0 μB per cell
**E_tot**: -24.968 eV per cell
**ΔE_f**: 51 meV/atom

Unit cell a=4.1232 b=4.1232 c=2.6546 alpha=90.00 beta=90.00 gamma=120.00
Space group P3m1 (No. 156)
Unique sites:
Li (0.0000, 0.0000, 0.0000) [1 per cell]
Re (0.3333, 0.6667, 0.6353) [1 per cell]
Ir (0.6667, 0.3333, 0.2451) [1 per cell]

Record 12
Compound: LiReIr2
Source: Alexandria via LeMat-Bulk
Functional: PBEsol
Structure: relaxed

**V**: 258 Å³ per cell
**M_tot**: 0.0 μB per cell
**E_tot**: -129.877 eV per cell
**ΔE_f**: 619 meV/atom

Unit cell a=7.0674 b=7.0674 c=5.1602 alpha=90.00 beta=90.00 gamma=90.00
Space group I-42d (No. 122)
Unique sites:
Li (0.0000, 0.0000, 0.0000) [4 per cell]
Re (0.0000, 0.0000, 0.5000) [4 per cell]
Ir (0.2120, 0.7500, 0.6250) [8 per cell]

Record 13
Compound: LiReIr2
Source: Alexandria via LeMat-Bulk
Functional: PBEsol
Structure: relaxed

**V**: 54 Å³ per cell
**M_tot**: 0.0 μB per cell
**E_tot**: -34.232 eV per cell
**ΔE_f**: 179 meV/atom

Unit cell a=3.9400 b=3.9400 c=3.4945 alpha=90.00 beta=90.00 gamma=90.00
Space group P4/mmm (No. 123)
Unique sites:
Li (0.0000, 0.0000, 0.0000) [1 per cell]
Re (0.5000, 0.5000, 0.0000) [1 per cell]
Ir (0.0000, 0.5000, 0.5000) [2 per cell]

Record 14
Compound: LiReIr
Source: Alexandria via LeMat-Bulk
Functional: PBEsol
Structure: relaxed

**V**: 188 Å³ per cell
**M_tot**: 0.0 μB per cell
**E_tot**: -95.952 eV per cell
**ΔE_f**: 378 meV/atom

Unit cell a=5.7296 b=5.7296 c=5.7296 alpha=90.00 beta=90.00 gamma=90.00
Space group F-43m (No. 216)
Unique sites:
Li (0.0000, 0.0000, 0.0000) [4 per cell]
Re (0.0000, 0.0000, 0.5000) [4 per cell]
Ir (0.2500, 0.2500, 0.2500) [4 per cell]

Record 15
Compound: LiIr2Rh
Source: Alexandria via LeMat-Bulk
Functional: PBEsol
Structure: relaxed

**V**: 53 Å³ per cell
**M_tot**: 0.0 μB per cell
**E_tot**: -29.513 eV per cell
**ΔE_f**: 60 meV/atom

Unit cell a=3.6838 b=3.6838 c=3.9097 alpha=90.00 beta=90.00 gamma=90.00
Space group P4/mmm (No. 123)
Unique sites:
Li (0.0000, 0.0000, 0.0000) [1 per cell]
Ir (0.0000, 0.5000, 0.5000) [2 per cell]
Rh (0.5000, 0.5000, 0.0000) [1 per cell]

Record 16
Compound: LiIr2Rh
Source: Alexandria via LeMat-Bulk
Functional: PBEsol
Structure: relaxed

**V**: 105 Å³ per cell
**M_tot**: 0.0 μB per cell
**E_tot**: -59.822 eV per cell
**ΔE_f**: -40 meV/atom

Unit cell a=3.7397 b=3.7397 c=7.4989 alpha=90.00 beta=90.00 gamma=90.00
Space group I-4m2 (No. 119)
Unique sites:
Li (0.0000, 0.0000, 0.0000) [2 per cell]
Ir (0.0000, 0.0000, 0.5000) [2 per cell]
Ir (0.0000, 0.5000, 0.7500) [2 per cell]
Rh (0.0000, 0.5000, 0.2500) [2 per cell]

Record 17
Compound: LiIr2Rh
Source: Alexandria via LeMat-Bulk
Functional: PBEsol
Structure: relaxed

**V**: 107 Å³ per cell
**M_tot**: 0.0 μB per cell
**E_tot**: -60.143 eV per cell
**ΔE_f**: -80 meV/atom

Unit cell a=8.8559 b=2.6761 c=4.5601 alpha=90.00 beta=98.55 gamma=90.00
Space group C2/m (No. 12)
Unique sites:
Li (0.0000, 0.0000, 0.0000) [2 per cell]
Ir (0.2422, 0.0000, 0.7508) [4 per cell]
Rh (0.0000, 0.5000, 0.5000) [2 per cell]

Record 18
Compound: LiIr2Rh
Source: Alexandria via LeMat-Bulk
Functional: PBEsol
Structure: relaxed

**V**: 107 Å³ per cell
**M_tot**: 0.0 μB per cell
**E_tot**: -59.710 eV per cell
**ΔE_f**: -26 meV/atom

Unit cell a=5.2350 b=7.7644 c=2.6231 alpha=90.00 beta=90.00 gamma=90.00
Space group Cmmm (No. 65)
Unique sites:
Li (0.0000, 0.0000, 0.0000) [2 per cell]
Ir (0.2500, 0.2500, 0.5000) [4 per cell]
Rh (0.0000, 0.5000, 0.0000) [2 per cell]

Record 19
Compound: LiIr2Rh
Source: Alexandria via LeMat-Bulk
Functional: PBEsol
Structure: relaxed

**V**: 53 Å³ per cell
**M_tot**: 0.0 μB per cell
**E_tot**: -29.639 eV per cell
**ΔE_f**: 28 meV/atom

Unit cell a=2.7174 b=2.7174 c=7.1561 alpha=90.00 beta=90.00 gamma=90.00
Space group P4mm (No. 99)
Unique sites:
Li (0.0000, 0.0000, 0.0000) [1 per cell]
Ir (0.0000, 0.0000, 0.4973) [1 per cell]
Ir (0.5000, 0.5000, 0.7537) [1 per cell]
Rh (0.5000, 0.5000, 0.2409) [1 per cell]

Record 20
Compound: LiIr2Rh
Source: Alexandria via LeMat-Bulk
Functional: PBEsol
Structure: relaxed

**V**: 53 Å³ per cell
**M_tot**: 0.0 μB per cell
**E_tot**: -29.043 eV per cell
**ΔE_f**: 177 meV/atom

Unit cell a=4.3823 b=4.3823 c=2.7676 alpha=90.00 beta=90.00 gamma=90.00
Space group P4/mmm (No. 123)
Unique sites:
Li (0.0000, 0.0000, 0.0000) [1 per cell]
Ir (0.0000, 0.5000, 0.5000) [2 per cell]
Rh (0.5000, 0.5000, 0.0000) [1 per cell]